DFT (GGA-PBE) results for a relaxed CdIn12Hg4 crystal.

## Properties
formation enthalpy at 0 K = 0.14 eV per atom
M_tot = 0.0 μB per cell
mass density = 7.440 g/cm³
VASP energy = -32.5 eV per cell

Lattice parameters (Å, degrees): 8.6835 8.7211 8.7466 109.53 109.36 109.24
With the nearest neighbours (Å) after each atom.
Atoms (fractional coordinates):
Cd: 0.0000 0.0000 0.0000  12 In 3.81-3.84
In: 0.1489 0.4987 0.3478  2 Hg 2.89, 2 In 3.03-3.05
In: 0.1510 0.8024 0.6524  2 Hg 2.89, 2 In 3.03-3.05
In: 0.1985 0.3471 0.8484  2 Hg 2.89, 2 In 3.03-3.05
In: 0.3474 0.8489 0.1970  2 Hg 2.89, 2 In 3.03-3.05
In: 0.3499 0.1503 0.4988  2 Hg 2.89, 2 In 3.03-3.05
In: 0.4986 0.3490 0.1511  2 Hg 2.89, 2 In 3.03-3.05
In: 0.5014 0.6510 0.8489  2 Hg 2.89, 2 In 3.03-3.05
In: 0.6501 0.8497 0.5012  2 Hg 2.89, 2 In 3.03-3.05
In: 0.6526 0.1511 0.8030  2 Hg 2.89, 2 In 3.03-3.05
In: 0.8015 0.6529 0.1516  2 Hg 2.89, 2 In 3.03-3.05
In: 0.8490 0.1976 0.3476  2 Hg 2.89, 2 In 3.03-3.05
In: 0.8511 0.5013 0.6522  2 Hg 2.89, 2 In 3.03-3.05
Hg: 0.0000 0.0000 0.5000  6 In 2.89
Hg: 0.0000 0.5000 0.0000  6 In 2.89
Hg: 0.5000 0.0000 0.0000  6 In 2.89
Hg: 0.5000 0.5000 0.5000  6 In 2.89

***

DFT (GGA-PBE) results for a relaxed Li3YCu3 crystal.

## Properties
formation enthalpy at 0 K = 0.38 eV per atom
M_tot = 0.0 μB per cell
mass density = 3.886 g/cm³
VASP energy = -43.6 eV per cell

Lattice parameters (Å, degrees): 6.3553 6.3553 6.3553 90.00 90.00 90.00
With the nearest neighbours (Å) after each atom.
Atoms (fractional coordinates):
Li: 0.0000 0.2500 0.5000  4 Cu 2.25
Li: 0.0000 0.7500 0.5000  4 Cu 2.25
Li: 0.2500 0.5000 0.0000  4 Cu 2.25
Li: 0.5000 0.0000 0.2500  4 Cu 2.25
Li: 0.5000 0.0000 0.7500  4 Cu 2.25
Li: 0.7500 0.5000 0.0000  4 Cu 2.25
Y: 0.0000 0.0000 0.0000  12 Li 3.55, 12 Cu 3.55
Y: 0.5000 0.5000 0.5000  12 Li 3.55, 12 Cu 3.55
Cu: 0.0000 0.5000 0.2500  4 Li 2.25
Cu: 0.0000 0.5000 0.7500  4 Li 2.25
Cu: 0.2500 0.0000 0.5000  4 Li 2.25
Cu: 0.5000 0.2500 0.0000  4 Li 2.25
Cu: 0.5000 0.7500 0.0000  4 Li 2.25
Cu: 0.7500 0.0000 0.5000  4 Li 2.25

***

DFT (GGA-PBE) results for a relaxed ReSbBr2 crystal.

## Properties
M_tot = 0.0 μB per cell
mass density = 6.725 g/cm³
VASP energy = -19.0 eV per cell
energy relative to the lowest polymorph listed for this composition = 0 meV per atom

Lattice parameters (Å, degrees): 5.0940 5.0940 7.7804 108.76 108.76 37.46
With the nearest neighbours (Å) after each atom.
Atoms (fractional coordinates):
Re: 0.0000 0.0000 0.0000  3 Sb 2.65-2.72, 4 Br 2.66
Sb: 0.2751 0.2751 0.0001  3 Re 2.65-2.72
Br: 0.4443 0.4443 0.7149  2 Re 2.66
Br: 0.6002 0.6002 0.2850  2 Re 2.66

***

DFT (GGA-PBE) results for a relaxed Dy6YEr3 crystal.

## Properties
formation enthalpy at 0 K = 0.13 eV per atom
M_tot = 0.0 μB per cell
mass density = 8.195 g/cm³
VASP energy = -93.0 eV per cell
energy relative to the lowest polymorph listed for this composition = 0 meV per atom

Lattice parameters (Å, degrees): 11.4916 11.4916 6.3421 90.00 90.00 130.75
With the nearest neighbours (Å) after each atom.
Atoms (fractional coordinates):
Dy: 0.0147 0.9853 0.5000  4 Dy 3.23-3.58, 1 Y 3.30, 4 Er 3.51-3.54
Dy: 0.1050 0.5432 0.0133  2 Er 3.25-3.38, 3 Dy 3.37-3.56, 2 Y 3.54-3.62
Dy: 0.2589 0.3788 0.2552  3 Er 3.33-3.51, 4 Dy 3.47-3.66
Dy: 0.3017 0.6983 0.4741  1 Er 3.13, 1 Y 3.28, 2 Dy 3.40
Dy: 0.3788 0.2589 0.7552  3 Er 3.33-3.51, 4 Dy 3.47-3.66
Dy: 0.4568 0.8950 0.0133  2 Er 3.25-3.38, 3 Dy 3.37-3.56, 2 Y 3.54-3.62
Dy: 0.5432 0.1050 0.5133  2 Er 3.25-3.38, 3 Dy 3.37-3.56, 2 Y 3.54-3.62
Dy: 0.6212 0.7411 0.2552  3 Er 3.33-3.51, 4 Dy 3.47-3.66
Dy: 0.6983 0.3017 0.9741  1 Er 3.13, 1 Y 3.28, 2 Dy 3.40
Dy: 0.7411 0.6212 0.7552  3 Er 3.33-3.51, 4 Dy 3.47-3.66
Dy: 0.8950 0.4568 0.5133  2 Er 3.25-3.38, 3 Dy 3.37-3.56, 2 Y 3.54-3.62
Dy: 0.9853 0.0147 0.0000  4 Dy 3.23-3.58, 1 Y 3.30, 4 Er 3.51-3.54
Y: 0.1607 0.8393 0.6991  6 Dy 3.28-3.62, 2 Er 3.50
Y: 0.8393 0.1607 0.1991  6 Dy 3.28-3.62, 2 Er 3.50
Er: 0.0426 0.2957 0.6744  2 Er 3.24-3.38, 5 Dy 3.25-3.54, 1 Y 3.50
Er: 0.2957 0.0426 0.1744  2 Er 3.24-3.38, 5 Dy 3.25-3.54, 1 Y 3.50
Er: 0.4195 0.5805 0.7796  5 Dy 3.13-3.51, 2 Er 3.38
Er: 0.5805 0.4195 0.2796  5 Dy 3.13-3.51, 2 Er 3.38
Er: 0.7043 0.9574 0.6744  2 Er 3.24-3.38, 5 Dy 3.25-3.54, 1 Y 3.50
Er: 0.9574 0.7043 0.1744  2 Er 3.24-3.38, 5 Dy 3.25-3.54, 1 Y 3.50

***

DFT (GGA-PBE) results for a relaxed MgPtBr4 crystal.

## Properties
M_tot = 0.0 μB per cell
mass density = 5.620 g/cm³
VASP energy = -9.4 eV per cell

Lattice parameters (Å, degrees): 6.0844 6.0844 6.0844 60.00 60.00 60.00
With the nearest neighbours (Å) after each atom.
Atoms (fractional coordinates):
Mg: 0.0000 0.0000 0.0000  12 Br 3.57, 4 Pt 3.73
Pt: 0.7500 0.7500 0.7500  12 Br 3.57, 4 Mg 3.73
Br: 0.3755 0.3755 0.3755  6 Br 3.03-3.05
Br: 0.3755 0.3755 0.8735  6 Br 3.03-3.05
Br: 0.3755 0.8735 0.3755  6 Br 3.03-3.05
Br: 0.8735 0.3755 0.3755  6 Br 3.03-3.05

***

DFT (GGA-PBE) results for a relaxed Ho2SbIr crystal.

## Properties
M_tot = 0.0 μB per cell
mass density = 11.416 g/cm³
VASP energy = -25.4 eV per cell
energy relative to the lowest polymorph listed for this composition = 156 meV per atom

Lattice parameters (Å, degrees): 3.5217 3.5217 7.5512 90.00 90.00 90.00
With the nearest neighbours (Å) after each atom.
Atoms (fractional coordinates):
Ho: 0.0000 0.0000 0.2166  4 Ir 2.98, 1 Ho 3.27, 4 Sb 3.28
Ho: 0.0000 0.0000 0.7834  4 Ir 2.98, 1 Ho 3.27, 4 Sb 3.28
Sb: 0.5000 0.5000 0.5000  8 Ho 3.28, 4 Sb 3.52
Ir: 0.5000 0.5000 0.0000  8 Ho 2.98

***

DFT (GGA-PBE) results for a relaxed SrCd6Hg crystal.

## Properties
formation enthalpy at 0 K = -0.14 eV per atom
M_tot = 0.0 μB per cell
mass density = 7.385 g/cm³
VASP energy = -8.6 eV per cell

Lattice parameters (Å, degrees): 4.6386 4.6386 10.0595 90.00 90.00 90.00
With the nearest neighbours (Å) after each atom.
Atoms (fractional coordinates):
Sr: 0.0000 0.0000 0.0000  16 Cd 3.57-3.94
Cd: 0.0000 0.5000 0.3168  2 Cd 2.93, 2 Hg 2.96
Cd: 0.0000 0.5000 0.6832  2 Cd 2.93, 2 Hg 2.96
Cd: 0.5000 0.0000 0.3168  2 Cd 2.93, 2 Hg 2.96
Cd: 0.5000 0.0000 0.6832  2 Cd 2.93, 2 Hg 2.96
Cd: 0.5000 0.5000 0.1391  5 Cd 2.80-2.93
Cd: 0.5000 0.5000 0.8609  5 Cd 2.80-2.93
Hg: 0.0000 0.0000 0.5000  8 Cd 2.96

***

DFT (GGA-PBE) results for a relaxed NbAgC3 crystal.

## Properties
formation enthalpy at 0 K = 2.04 eV per atom
M_tot = 0.0 μB per cell
mass density = 5.226 g/cm³
VASP energy = -30.4 eV per cell
energy relative to the lowest polymorph listed for this composition = 0 meV per atom

Lattice parameters (Å, degrees): 4.2218 4.2218 4.2218 90.00 90.00 90.00
With the nearest neighbours (Å) after each atom.
Atoms (fractional coordinates):
Nb: 0.0000 0.0000 0.0000  6 C 2.11
Ag: 0.5000 0.5000 0.5000  12 C 2.99
C: 0.0000 0.0000 0.5000  2 Nb 2.11
C: 0.0000 0.5000 0.0000  2 Nb 2.11
C: 0.5000 0.0000 0.0000  2 Nb 2.11

***

DFT (GGA-PBE) results for a relaxed BaZrFeOs2 crystal.

## Properties
formation enthalpy at 0 K = 2.40 eV per atom
M_tot = 0.8 μB per cell
mass density = 8.028 g/cm³
VASP energy = -29.4 eV per cell

Lattice parameters (Å, degrees): 4.8720 4.8720 5.7935 90.00 90.00 90.00
With the nearest neighbours (Å) after each atom.
Atoms (fractional coordinates):
Ba: 0.0000 0.0000 0.0000  2 Zr 2.90
Zr: 0.0000 0.0000 0.5000  4 Os 2.44
Fe: 0.5000 0.5000 0.0000  4 Ba 3.45, 8 Os 3.78
Os: 0.0000 0.5000 0.5000  2 Zr 2.44
Os: 0.5000 0.0000 0.5000  2 Zr 2.44